(1)
LiTaGe: optimized geometry, GGA-PBE.

Properties
calculated volume	105.2	Å³/cell
formation enthalpy at 0 K	-0.20	eV/atom
DOS at the Fermi energy	1.628	states/eV/cell
space-group type	Cmme (67)

```
6
Lattice="1.801 -2.295 0.000 1.801 2.295 0.000 0.000 0.000 12.727" Properties=species:S:1:pos:R:3 pbc="T T T"
Li 1.801 1.148 11.396
Li 1.801 -1.148 1.331
Ta 1.801 1.148 7.512
Ta 1.801 -1.148 5.215
Ge 1.801 1.148 3.219
Ge 1.801 -1.148 9.508
```


(2)
LiTaGe2: optimized geometry, GGA-PBE.

Properties
E above lowest polymorph	284	meV/atom
calculated volume	66.5	Å³/cell
formation enthalpy at 0 K	0.10	eV/atom
DOS at the Fermi energy	3.424	states/eV/cell
space-group type	Fm-3m (225)

```
4
Lattice="0.000 3.215 3.215 3.215 0.000 3.215 3.215 3.215 0.000" Properties=species:S:1:pos:R:3 pbc="T T T"
Li 0.000 0.000 0.000
Ta 3.215 3.215 3.215
Ge 1.607 1.607 1.607
Ge 4.822 4.822 4.822
```


(3)
LiTaGe2: optimized geometry, GGA-PBE.

Properties
E above lowest polymorph	396	meV/atom
calculated volume	132.5	Å³/cell
formation enthalpy at 0 K	0.21	eV/atom
DOS at the Fermi energy	1.519	states/eV/cell
space-group type	I-42d (122)

```
8
Lattice="-3.412 3.412 2.844 3.412 -3.412 2.844 3.412 3.412 -2.844" Properties=species:S:1:pos:R:3 pbc="T T T"
Li 0.000 0.000 0.000
Li 0.000 3.412 1.422
Ta 3.412 0.000 1.422
Ta 0.000 0.000 2.844
Ge 5.118 1.523 -0.711
Ge 1.523 1.706 0.711
Ge -1.706 1.889 2.133
Ge 1.889 1.706 3.555
```


(4)
Li2TaGe2: optimized geometry, GGA-PBE.

Properties
E above lowest polymorph	65	meV/atom
calculated volume	148.2	Å³/cell
formation enthalpy at 0 K	-0.04	eV/atom
DOS at the Fermi energy	2.662	states/eV/cell
space-group type	P4/mbm (127)

```
10
Lattice="7.248 0.000 0.000 0.000 7.248 0.000 0.000 0.000 2.820" Properties=species:S:1:pos:R:3 pbc="T T T"
Li 0.817 2.807 0.000
Li 2.807 6.432 0.000
Li 4.441 0.817 0.000
Li 6.432 4.441 0.000
Ta 0.000 0.000 0.000
Ta 3.624 3.624 0.000
Ge 1.329 4.953 1.410
Ge 2.295 1.329 1.410
Ge 4.953 5.919 1.410
Ge 5.919 2.295 1.410
```


(5)
LiTaGe: optimized geometry, GGA-PBE.

Properties
calculated volume	97.8	Å³/cell
formation enthalpy at 0 K	-0.14	eV/atom
DOS at the Fermi energy	2.605	states/eV/cell
space-group type	P3m1 (156)

```
6
Lattice="4.466 0.000 0.000 -2.233 3.867 0.000 0.000 0.000 5.662" Properties=species:S:1:pos:R:3 pbc="T T T"
Li 0.000 0.000 0.000
Li 0.000 2.578 0.912
Ta 0.000 2.578 3.793
Ta 2.233 1.289 2.493
Ge 0.000 0.000 2.734
Ge 2.233 1.289 5.331
```


(6)
LiTaGe2: optimized geometry, GGA-PBE.

Properties
E above lowest polymorph	0	meV/atom
calculated volume	68.5	Å³/cell
formation enthalpy at 0 K	-0.18	eV/atom
DOS at the Fermi energy	0.568	states/eV/cell
space-group type	R-3m (166)

```
4
Lattice="1.503 0.868 8.761 -1.503 0.868 8.761 0.000 -1.735 8.761" Properties=species:S:1:pos:R:3 pbc="T T T"
Li 0.000 0.000 0.000
Ta 0.000 0.000 13.141
Ge 0.000 0.000 6.590
Ge 0.000 0.000 19.693
```


(7)
LiTaGe: optimized geometry, GGA-PBE.

Properties
calculated volume	104.4	Å³/cell
formation enthalpy at 0 K	-0.01	eV/atom
DOS at the Fermi energy	3.560	states/eV/cell
space-group type	R-3m (166)

```
6
Lattice="2.044 1.180 7.219 -2.044 1.180 7.219 0.000 -2.360 7.219" Properties=species:S:1:pos:R:3 pbc="T T T"
Li 0.000 0.000 3.015
Li 0.000 0.000 18.641
Ta 0.000 0.000 6.347
Ta 0.000 0.000 15.309
Ge 0.000 0.000 9.220
Ge 0.000 0.000 12.436
```


(8)
LiTaGe: optimized geometry, GGA-PBE.

Properties
calculated volume	93.8	Å³/cell
formation enthalpy at 0 K	-0.28	eV/atom
DOS at the Fermi energy	2.054	states/eV/cell
space-group type	I4/mmm (139)

```
6
Lattice="-1.774 1.774 7.454 1.774 -1.774 7.454 1.774 1.774 -7.454" Properties=species:S:1:pos:R:3 pbc="T T T"
Li 1.774 0.000 0.000
Li 0.000 1.774 0.000
Ta 0.000 0.000 2.885
Ta 0.000 0.000 12.023
Ge 0.000 0.000 5.587
Ge 0.000 0.000 9.321
```


(9)
Li2TaGe2: optimized geometry, GGA-PBE.

Properties
E above lowest polymorph	0	meV/atom
calculated volume	156.1	Å³/cell
formation enthalpy at 0 K	-0.11	eV/atom
DOS at the Fermi energy	3.099	states/eV/cell
space-group type	P4/mbm (127)

```
10
Lattice="7.333 0.000 0.000 0.000 7.333 0.000 0.000 0.000 2.903" Properties=species:S:1:pos:R:3 pbc="T T T"
Li 0.948 2.719 0.000
Li 2.719 6.385 0.000
Li 4.614 0.948 0.000
Li 6.385 4.614 0.000
Ta 0.000 0.000 1.452
Ta 3.667 3.667 1.452
Ge 1.248 4.915 1.452
Ge 2.419 1.248 1.452
Ge 4.915 6.085 1.452
Ge 6.085 2.419 1.452
```


(10)
LiTaGe2: optimized geometry, GGA-PBE.

Properties
E above lowest polymorph	86	meV/atom
calculated volume	64.3	Å³/cell
formation enthalpy at 0 K	-0.10	eV/atom
DOS at the Fermi energy	3.900	states/eV/cell
space-group type	P4/mmm (123)

```
4
Lattice="3.336 0.000 0.000 0.000 3.336 0.000 0.000 0.000 5.775" Properties=species:S:1:pos:R:3 pbc="T T T"
Li 0.000 0.000 0.000
Ta 0.000 0.000 2.888
Ge 1.668 1.668 1.418
Ge 1.668 1.668 4.358
```


(11)
LiTaGe: optimized geometry, GGA-PBE.

Properties
calculated volume	102.5	Å³/cell
formation enthalpy at 0 K	-0.23	eV/atom
DOS at the Fermi energy	1.618	states/eV/cell
space-group type	P4/nmm (129)

```
6
Lattice="3.405 0.000 0.000 0.000 3.405 0.000 0.000 0.000 8.836" Properties=species:S:1:pos:R:3 pbc="T T T"
Li 0.851 0.851 0.830
Li 2.554 2.554 8.007
Ta 0.851 0.851 3.684
Ta 2.554 2.554 5.153
Ge 0.851 0.851 6.560
Ge 2.554 2.554 2.276
```


(12)
LiTaGe: optimized geometry, GGA-PBE.

Properties
calculated volume	93.1	Å³/cell
formation enthalpy at 0 K	-0.30	eV/atom
DOS at the Fermi energy	2.084	states/eV/cell
space-group type	P4/nmm (129)

```
6
Lattice="3.540 0.000 0.000 0.000 3.540 0.000 0.000 0.000 7.433" Properties=species:S:1:pos:R:3 pbc="T T T"
Li 0.885 2.655 0.000
Li 2.655 0.885 0.000
Ta 0.885 0.885 2.889
Ta 2.655 2.655 4.544
Ge 0.885 0.885 5.601
Ge 2.655 2.655 1.832
```


(13)
LiTaGe2Te: optimized geometry, GGA-PBE.

Properties
calculated volume	99.5	Å³/cell
ΔE_f (raw)	0.857	eV per atom
DOS at the Fermi energy	3.677	states/eV/cell
space-group type	P4/mmm (123)

```
5
Lattice="4.351 0.000 0.000 0.000 4.351 0.000 0.000 0.000 5.256" Properties=species:S:1:pos:R:3 pbc="T T T"
Li 0.000 0.000 0.000
Ta 2.176 2.176 2.628
Ge 0.000 2.176 0.000
Ge 2.176 0.000 0.000
Te 0.000 0.000 2.628
```


(14)
Li2TbGe4: optimized geometry, GGA-PBE.

Properties
calculated volume	130.3	Å³/cell
formation enthalpy at 0 K	-0.39	eV/atom
DOS at the Fermi energy	1.638	states/eV/cell
space-group type	I4/mmm (139)

```
7
Lattice="-3.392 3.392 2.831 3.392 -3.392 2.831 3.392 3.392 -2.831" Properties=species:S:1:pos:R:3 pbc="T T T"
Li 3.392 0.000 1.416
Li 0.000 3.392 1.416
Tb 0.000 0.000 0.000
Ge 2.077 2.077 0.000
Ge 1.315 -1.315 2.831
Ge -1.315 1.315 2.831
Ge 1.315 1.315 2.831
```


(15)
LiTbGe: optimized geometry, GGA-PBE.

Properties
calculated volume	137.7	Å³/cell
formation enthalpy at 0 K	-0.48	eV/atom
DOS at the Fermi energy	2.559	states/eV/cell
space-group type	P-1 (2)

```
6
Lattice="3.872 0.000 0.000 0.000 4.261 0.000 0.011 2.116 8.346" Properties=species:S:1:pos:R:3 pbc="T T T"
Li 0.971 1.062 0.662
Li 2.912 5.315 7.684
Tb 0.975 3.191 5.708
Tb 2.908 3.186 2.639
Ge 0.975 1.062 3.301
Ge 2.907 5.315 5.046
```


(16)
Li3TbGe2: optimized geometry, GGA-PBE.

Properties
calculated volume	222.0	Å³/cell
formation enthalpy at 0 K	-0.50	eV/atom
DOS at the Fermi energy	3.852	states/eV/cell
space-group type	C2/m (12)

```
12
Lattice="7.304 -2.127 0.000 7.304 2.127 0.000 -3.548 0.000 7.146" Properties=species:S:1:pos:R:3 pbc="T T T"
Li -0.696 0.000 2.656
Li 2.627 0.000 3.757
Li 4.765 0.000 2.198
Li 6.295 0.000 4.948
Li 8.432 0.000 3.389
Li 11.756 0.000 4.490
Tb 1.974 0.000 0.391
Tb 9.086 0.000 6.755
Ge 0.323 0.000 5.140
Ge 3.961 0.000 5.957
Ge 7.099 0.000 1.189
Ge 10.737 0.000 2.007
```


(17)
Li2Tb2Ge3: optimized geometry, GGA-PBE.

Properties
calculated volume	271.8	Å³/cell
formation enthalpy at 0 K	-0.69	eV/atom
DOS at the Fermi energy	2.764	states/eV/cell
space-group type	Cmcm (63)

```
14
Lattice="2.162 -9.188 0.000 2.162 9.188 0.000 0.000 0.000 6.841" Properties=species:S:1:pos:R:3 pbc="T T T"
Li 2.162 5.656 3.844
Li 2.162 5.656 6.418
Li 2.162 -5.656 0.423
Li 2.162 -5.656 2.997
Tb 2.162 2.870 5.131
Tb 2.162 0.967 1.710
Tb 2.162 -0.967 5.131
Tb 2.162 -2.870 1.710
Ge 2.162 8.019 0.433
Ge 2.162 8.019 2.987
Ge 2.162 4.068 1.710
Ge 2.162 -4.068 5.131
Ge 2.162 -8.019 3.854
Ge 2.162 -8.019 6.408
```


(18)
LiTbGe4: optimized geometry, GGA-PBE.

Properties
calculated volume	120.8	Å³/cell
formation enthalpy at 0 K	-0.29	eV/atom
space-group type	F-43m (216)

```
6
Lattice="0.000 3.924 3.924 3.924 0.000 3.924 3.924 3.924 0.000" Properties=species:S:1:pos:R:3 pbc="T T T"
Li 0.000 0.000 0.000
Tb 1.962 1.962 1.962
Ge 4.908 2.939 2.939
Ge 2.939 4.908 2.939
Ge 2.939 2.939 4.908
Ge 4.908 4.908 4.908
```


(19)
LiTbGe: optimized geometry, GGA-PBE.

Properties
calculated volume	72.6	Å³/cell
formation enthalpy at 0 K	-0.57	eV/atom
space-group type	F-43m (216)

```
3
Lattice="0.000 3.312 3.312 3.312 0.000 3.312 3.312 3.312 0.000" Properties=species:S:1:pos:R:3 pbc="T T T"
Li 0.000 0.000 0.000
Tb 3.312 3.312 3.312
Ge 1.656 1.656 1.656
```


(20)
Li4TbGe2: optimized geometry, GGA-PBE.

Properties
calculated volume	250.1	Å³/cell
formation enthalpy at 0 K	-0.47	eV/atom
DOS at the Fermi energy	5.725	states/eV/cell
space-group type	P4_2/mnm (136)

```
14
Lattice="7.587 0.000 0.000 0.000 7.587 0.000 0.000 0.000 4.346" Properties=species:S:1:pos:R:3 pbc="T T T"
Li 0.789 2.647 0.000
Li 1.147 4.582 2.173
Li 2.647 0.789 0.000
Li 3.005 6.440 2.173
Li 4.582 1.147 2.173
Li 4.940 6.798 0.000
Li 6.440 3.005 2.173
Li 6.798 4.940 0.000
Tb 0.000 0.000 2.173
Tb 3.793 3.793 0.000
Ge 1.597 5.990 0.000
Ge 2.196 2.196 2.173
Ge 5.390 5.390 2.173
Ge 5.990 1.597 0.000
```


(21)
Li2TbGe2: optimized geometry, GGA-PBE.

Properties
calculated volume	94.2	Å³/cell
formation enthalpy at 0 K	-0.57	eV/atom
DOS at the Fermi energy	1.674	states/eV/cell
space-group type	I4/mmm (139)

```
5
Lattice="-2.025 2.025 5.744 2.025 -2.025 5.744 2.025 2.025 -5.744" Properties=species:S:1:pos:R:3 pbc="T T T"
Li 2.025 0.000 2.872
Li 0.000 2.025 2.872
Tb 0.000 0.000 0.000
Ge 0.000 0.000 4.510
Ge 0.000 0.000 6.978
```


(22)
LiTbGe: optimized geometry, GGA-PBE.

Properties
calculated volume	186.3	Å³/cell
formation enthalpy at 0 K	-0.72	eV/atom
DOS at the Fermi energy	0.292	states/eV/cell
space-group type	P-62m (189)

```
9
Lattice="7.079 0.000 0.000 -3.539 6.130 0.000 0.000 0.000 4.293" Properties=species:S:1:pos:R:3 pbc="T T T"
Li -2.716 4.704 0.000
Li 0.823 1.426 0.000
Li 5.432 0.000 0.000
Tb -1.504 2.604 2.146
Tb 3.007 0.000 2.146
Tb 2.036 3.526 2.146
Ge 0.000 0.000 2.146
Ge 0.000 4.087 0.000
Ge 3.539 2.043 0.000
```


(23)
LiTb2Ge3: optimized geometry, GGA-PBE.

Properties
calculated volume	244.8	Å³/cell
formation enthalpy at 0 K	-0.67	eV/atom
DOS at the Fermi energy	3.934	states/eV/cell
space-group type	Fmmm (69)

```
12
Lattice="0.000 4.215 7.253 4.003 0.000 7.253 4.003 4.215 0.000" Properties=species:S:1:pos:R:3 pbc="T T T"
Li 4.003 4.215 2.419
Li 4.003 4.215 12.087
Tb 2.001 2.108 3.626
Tb 5.912 4.215 7.253
Tb 2.094 4.215 7.253
Tb 6.004 6.323 10.879
Ge 4.003 2.007 6.014
Ge 4.003 2.007 8.492
Ge 4.003 4.215 4.787
Ge 4.003 4.215 9.719
Ge 4.003 6.424 6.014
Ge 4.003 6.424 8.492
```


(24)
LiTb2Ge2: optimized geometry, GGA-PBE.

Properties
calculated volume	111.2	Å³/cell
formation enthalpy at 0 K	-0.69	eV/atom
DOS at the Fermi energy	3.428	states/eV/cell
space-group type	Immm (71)

```
5
Lattice="-2.150 3.028 4.269 2.150 -3.028 4.269 2.150 3.028 -4.269" Properties=species:S:1:pos:R:3 pbc="T T T"
Li 0.000 0.000 0.000
Tb 2.150 0.000 2.489
Tb 0.000 3.028 1.780
Ge 2.150 1.728 0.000
Ge 0.000 1.300 4.269
```


(25)
LiTbGe: optimized geometry, GGA-PBE.

Properties
calculated volume	62.9	Å³/cell
formation enthalpy at 0 K	-0.31	eV/atom
DOS at the Fermi energy	1.209	states/eV/cell
space-group type	I4mm (107)

```
3
Lattice="-1.685 1.685 5.540 1.685 -1.685 5.540 1.685 1.685 -5.540" Properties=species:S:1:pos:R:3 pbc="T T T"
Li 0.000 0.000 0.000
Tb 0.000 0.000 3.202
Ge 0.000 0.000 6.789
```